Record 1
Below is a relaxed structure of ScPdPt, with properties calculated at the PBE level.

a b c (Å): 2.903 4.481 4.481
angles (deg): 120.00 90.00 90.00
Fractional coordinates of all 3 atoms:
Pd (0.943, 0.000, 0.000)
Sc (0.703, 0.667, 0.333)
Pt (0.354, 0.333, 0.667)

- Space-group type: P3m1 (156)
- Crystal system: trigonal
- Calculated total energy: -6.668 eV per atom
- Energy of formation: -2.4 eV/f.u.

---

Record 2
Below is a relaxed structure of Sc3PdPt3, with properties calculated at the PBE level.

a b c (Å): 8.016 8.016 8.016
angles (deg): 90.00 90.00 90.00
Fractional coordinates of all 28 atoms:
Pt (0.834, 0.334, 0.166)
Sc (0.021, 0.709, 0.627)
Pt (0.381, 0.619, 0.119)
Sc (0.979, 0.209, 0.873)
Sc (0.291, 0.127, 0.479)
Pt (0.666, 0.666, 0.666)
Pt (0.334, 0.166, 0.834)
Sc (0.479, 0.291, 0.127)
Pt (0.619, 0.119, 0.381)
Pt (0.119, 0.381, 0.619)
Pt (0.662, 0.338, 0.838)
Pt (0.162, 0.162, 0.162)
Pt (0.881, 0.881, 0.881)
Pt (0.166, 0.834, 0.334)
Pt (0.838, 0.662, 0.338)
Sc (0.127, 0.479, 0.291)
Sc (0.709, 0.627, 0.021)
Sc (0.627, 0.021, 0.709)
Sc (0.209, 0.873, 0.979)
Pt (0.338, 0.838, 0.662)
Sc (0.873, 0.979, 0.209)
Sc (0.521, 0.791, 0.373)
Sc (0.373, 0.521, 0.791)
Pd (0.549, 0.951, 0.049)
Pd (0.951, 0.049, 0.549)
Pd (0.049, 0.549, 0.951)
Pd (0.451, 0.451, 0.451)
Sc (0.791, 0.373, 0.521)

- Space-group type: P2_13 (198)
- Crystal system: cubic
- Calculated total energy: -7.070 eV per atom
- Energy of formation: -7.2 eV/f.u.

---

Record 3
Below is a relaxed structure of Sc4Pd2Pt5, with properties calculated at the PBE level.

a b c (Å): 5.609 5.713 8.957
angles (deg): 81.16 71.75 60.60
Fractional coordinates of all 11 atoms:
Pt (0.250, 0.500, 0.500)
Pt (0.500, 0.500, 0.000)
Pt (0.000, 0.500, 0.000)
Sc (0.467, 0.319, 0.747)
Pt (0.750, 0.500, 0.500)
Pd (0.754, 0.000, 0.492)
Sc (0.533, 0.681, 0.253)
Sc (0.786, 0.681, 0.747)
Sc (0.214, 0.319, 0.253)
Pt (0.500, 0.000, 0.000)
Pd (0.246, 0.000, 0.508)

- Space-group type: Fmmm (69)
- Crystal system: orthorhombic
- Calculated total energy: -6.598 eV per atom
- Energy of formation: -6.7 eV/f.u.